(1)
{
  "formula": "TlAg2Te2",
  "functional": "GGA-PBE",
  "state": "optimized geometry",
  "lattice": [[-3.2941, 2.6357, -7.5460], [-0.8120, -8.2298, -2.5200], [-3.2198, -0.1018, 1.3700]],
  "species": ["Tl", "Tl", "Te", "Te", "Te", "Te", "Ag", "Ag", "Ag", "Ag"],
  "fractional_positions": [[0.0000, 0.0000, 0.0000], [0.5000, 0.5000, 0.0000], [0.1755, 0.6755, 0.5000], [0.6755, 0.8245, 0.5000], [0.8245, 0.3245, 0.5000], [0.3245, 0.1755, 0.5000], [0.3785, 0.8785, 0.0000], [0.8785, 0.6215, 0.0000], [0.6215, 0.1215, 0.0000], [0.1215, 0.3785, 0.0000]],
  "relative_energy_ev_per_atom": 0.120,
  "spacegroup": "P4/mbm, No. 127",
  "density_g_cm3": 8.57
}

(2)
{
  "formula": "Li2Ag2Ge",
  "functional": "GGA-PBE",
  "state": "optimized geometry",
  "lattice": [[-3.0010, 6.0542, 2.8283], [-6.3367, -1.5943, -3.3109], [-0.8998, -1.6135, 2.4991]],
  "species": ["Ge", "Ge", "Ag", "Ag", "Ag", "Ag", "Li", "Li", "Li", "Li"],
  "fractional_positions": [[0.0000, 0.0000, 0.0000], [0.5000, 0.5000, 0.0000], [0.3634, 0.8634, 0.0000], [0.8634, 0.6366, 0.0000], [0.6366, 0.1366, 0.0000], [0.1366, 0.3634, 0.0000], [0.1634, 0.6634, 0.5000], [0.6634, 0.8366, 0.5000], [0.8366, 0.3366, 0.5000], [0.3366, 0.1634, 0.5000]],
  "relative_energy_ev_per_atom": 0.111,
  "spacegroup": "P4/mbm, No. 127",
  "density_g_cm3": 6.02,
  "e_form_ev_per_atom": -0.12
}

(3)
{
  "formula": "MgSnSb",
  "functional": "GGA-PBE",
  "state": "optimized geometry",
  "lattice": [[4.2475, -0.0087, 0.0006], [-1.7297, 4.5646, -0.0011], [-0.6131, -0.3309, 9.2644]],
  "species": ["Mg", "Mg", "Sn", "Sn", "Sb", "Sb"],
  "fractional_positions": [[0.9420, 0.4837, 0.7295], [0.5413, 0.0065, 0.9535], [0.3852, 0.5315, 0.2728], [0.7191, 0.1233, 0.4116], [0.8907, 0.6135, 0.0397], [0.2558, 0.0706, 0.6511]],
  "spacegroup": "P1, No. 1",
  "density_g_cm3": 4.90,
  "energy_ev_per_cell": -20.11
}

(4)
{
  "formula": "HfTi3Rh",
  "functional": "GGA-PBE",
  "state": "optimized geometry",
  "lattice": [[-4.6420, -0.1457, 0.8177], [0.8258, -0.3170, 4.6320], [-0.0881, 4.7028, 0.3376]],
  "species": ["Rh", "Hf", "Ti", "Ti", "Ti"],
  "fractional_positions": [[0.5000, 0.5000, 0.5000], [0.0000, 0.0000, 0.0000], [0.0000, 0.5000, 0.0000], [0.0000, 0.0000, 0.5000], [0.5000, 0.0000, 0.0000]],
  "relative_energy_ev_per_atom": 1.459,
  "spacegroup": "Pm-3m, No. 221",
  "density_g_cm3": 6.73,
  "e_form_ev_per_atom": 1.30
}

(5)
{
  "formula": "GaReSn2",
  "functional": "GGA-PBE",
  "state": "optimized geometry",
  "lattice": [[-2.5552, -2.6891, 5.0824], [-1.6273, -4.9961, -3.4615], [3.2247, -6.4646, 2.0958]],
  "species": ["Re", "Re", "Sn", "Sn", "Sn", "Sn", "Ga", "Ga"],
  "fractional_positions": [[0.0000, 0.0000, 0.0000], [0.7500, 0.2500, 0.5000], [0.6469, 0.1250, 0.2500], [0.1031, 0.6250, 0.2500], [0.3750, 0.3531, 0.7500], [0.8750, 0.8969, 0.7500], [0.5000, 0.5000, 0.0000], [0.2500, 0.7500, 0.5000]],
  "spacegroup": "I-42d, No. 122",
  "density_g_cm3": 6.82,
  "e_form_ev_per_atom": 0.96
}

(6)
{
  "formula": "Sc2Zn",
  "functional": "GGA-PBE",
  "state": "optimized geometry",
  "lattice": [[-6.0587, 0.4832, 4.5268], [4.3019, -3.4096, -5.2251], [2.5060, -2.3651, 3.6065]],
  "species": ["Sc", "Sc", "Sc", "Sc", "Zn", "Zn"],
  "fractional_positions": [[0.8778, 0.1222, 0.7500], [0.1222, 0.8778, 0.2500], [0.4357, 0.5643, 0.2500], [0.5643, 0.4357, 0.7500], [0.2237, 0.7763, 0.7500], [0.7763, 0.2237, 0.2500]],
  "spacegroup": "Cmcm, No. 63",
  "density_g_cm3": 4.02,
  "e_form_ev_per_atom": -0.12
}

Please write out number 5 again, unchanged.
{
  "formula": "GaReSn2",
  "functional": "GGA-PBE",
  "state": "optimized geometry",
  "lattice": [[-2.5552, -2.6891, 5.0824], [-1.6273, -4.9961, -3.4615], [3.2247, -6.4646, 2.0958]],
  "species": ["Re", "Re", "Sn", "Sn", "Sn", "Sn", "Ga", "Ga"],
  "fractional_positions": [[0.0000, 0.0000, 0.0000], [0.7500, 0.2500, 0.5000], [0.6469, 0.1250, 0.2500], [0.1031, 0.6250, 0.2500], [0.3750, 0.3531, 0.7500], [0.8750, 0.8969, 0.7500], [0.5000, 0.5000, 0.0000], [0.2500, 0.7500, 0.5000]],
  "spacegroup": "I-42d, No. 122",
  "density_g_cm3": 6.82,
  "e_form_ev_per_atom": 0.96
}